Entry 1:
First-principles (PBE) data for crystalline PaPHRh at its relaxed geometry, as listed in the Alexandria database.

Results
The symmetry is P-6m2 (187). The size of the total moment comes out at 0.000 μB/atom. The electronic total energy is -29.54 eV/cell. For the density of states at the Fermi level, the calculation gives 1.02 states/eV per cell.

Structure (POSCAR):
```
PaPHRh
1.0
-3.748 1.491 0.917
0.444 -3.976 -1.050
0.538 -0.912 3.679
Pa H Rh P
1 1 1 1
Direct
0.572 0.144 0.310
0.239 0.477 0.310
0.239 0.477 0.810
0.905 0.811 0.810
```

---

Entry 2:
First-principles (PBE) data for crystalline PaPHRu2 at its relaxed geometry, as listed in the Alexandria database.

Results
The symmetry is Cmcm (63). The size of the total moment comes out at 0.000 μB/atom. The electronic total energy is -79.50 eV/cell. For the density of states at the Fermi level, the calculation gives 5.74 states/eV per cell.

Structure (POSCAR):
```
PaPHRu2
1.0
-0.981 -3.745 -0.243
1.561 1.254 5.330
-6.429 1.587 1.510
Pa H P Ru
2 2 2 4
Direct
0.427 0.854 0.750
0.573 0.146 0.250
0.000 0.000 0.000
0.000 0.000 0.500
0.710 0.419 0.750
0.290 0.581 0.250
0.841 0.681 0.044
0.159 0.319 0.544
0.159 0.319 0.956
0.841 0.681 0.456
```

---

Entry 3:
First-principles (PBE) data for crystalline Pa2PHRu6 at its relaxed geometry, as listed in the Alexandria database.

Results
The symmetry is P4/mmm (123). The size of the total moment comes out at 0.000 μB/atom. The electronic total energy is -87.29 eV/cell. For the density of states at the Fermi level, the calculation gives 4.33 states/eV per cell.

Structure (POSCAR):
```
Pa2PHRu6
1.0
4.304 0.000 0.000
0.000 4.304 0.000
0.000 0.000 8.307
Ru Pa P H
6 2 1 1
Direct
0.500 0.000 0.000
0.500 0.000 0.500
0.000 0.500 0.000
0.500 0.500 0.732
0.000 0.500 0.500
0.500 0.500 0.268
0.000 0.000 0.732
0.000 0.000 0.268
0.500 0.500 0.000
0.500 0.500 0.500
```

---

Entry 4:
First-principles (PBE) data for crystalline Pa2SbPH2 at its relaxed geometry, as listed in the Alexandria database.

Results
The symmetry is P-3m1 (164). The size of the total moment comes out at 0.000 μB/atom. The electronic total energy is -39.85 eV/cell. For the density of states at the Fermi level, the calculation gives 5.95 states/eV per cell.

Structure (POSCAR):
```
Pa2SbPH2
1.0
3.893 0.000 0.000
-1.946 3.371 0.000
0.000 0.000 7.878
Sb Pa H P
1 2 2 1
Direct
0.000 0.000 0.000
0.333 0.667 0.719
0.667 0.333 0.281
0.667 0.333 0.746
0.333 0.667 0.254
0.000 0.000 0.500
```

---

Entry 5:
First-principles (PBE) data for crystalline Pa2PH2Se at its relaxed geometry, as listed in the Alexandria database.

Results
The symmetry is P-3m1 (164). The size of the total moment comes out at 0.000 μB/atom. The electronic total energy is -40.68 eV/cell. For the density of states at the Fermi level, the calculation gives 6.51 states/eV per cell.

Structure (POSCAR):
```
Pa2PH2Se
1.0
-1.031 0.934 3.570
-0.338 -3.620 -1.207
7.038 -1.462 2.416
H Pa Se P
2 2 1 1
Direct
0.667 0.333 0.751
0.333 0.667 0.249
0.333 0.667 0.728
0.667 0.333 0.272
0.000 0.000 0.000
0.000 0.000 0.500
```

---

Entry 6:
First-principles (PBE) data for crystalline PaTc2PH2 at its relaxed geometry, as listed in the Alexandria database.

Results
The symmetry is P2_1/m (11). The size of the total moment comes out at 0.000 μB/atom. The electronic total energy is -87.89 eV/cell. For the density of states at the Fermi level, the calculation gives 7.08 states/eV per cell.

Structure (POSCAR):
```
PaTc2PH2
1.0
5.767 0.000 0.000
0.000 5.708 -0.137
0.000 -2.246 4.791
Tc Pa H P
4 2 4 2
Direct
0.004 0.732 0.756
0.504 0.268 0.244
0.496 0.732 0.756
0.996 0.268 0.244
0.750 0.256 0.793
0.250 0.744 0.207
0.250 0.520 0.501
0.750 0.480 0.499
0.750 0.819 0.606
0.250 0.181 0.394
0.250 0.106 0.838
0.750 0.894 0.162
```

---

Entry 7:
First-principles (PBE) data for crystalline PHPb at its relaxed geometry, as listed in the Alexandria database.

Results
The symmetry is Pnma (62). The size of the total moment comes out at 0.000 μB/atom. The polymorph energy (0 for the lowest one) comes out at 0.004 eV per atom. For the density of states at the Fermi level, the calculation gives 2.39 states/eV per cell.

Structure (POSCAR):
```
PHPb
1.0
-4.539 0.874 3.946
-3.235 0.029 -3.728
-0.954 -8.394 0.762
Pb H P
4 4 4
Direct
0.750 0.626 0.370
0.750 0.874 0.870
0.250 0.374 0.630
0.250 0.126 0.130
0.750 0.076 0.530
0.750 0.424 0.030
0.250 0.924 0.470
0.250 0.576 0.970
0.250 0.710 0.353
0.750 0.210 0.147
0.250 0.790 0.853
0.750 0.290 0.647
```

---

Entry 8:
First-principles (PBE) data for crystalline P2HPb2 at its relaxed geometry, as listed in the Alexandria database.

Results
The symmetry is I4/mmm (139). The size of the total moment comes out at 0.000 μB/atom. The electronic total energy is -19.54 eV/cell. For the density of states at the Fermi level, the calculation gives 2.55 states/eV per cell.

Structure (POSCAR):
```
P2HPb2
1.0
3.359 0.000 0.000
0.000 3.359 0.000
1.680 1.680 8.866
Pb P H
2 2 1
Direct
0.406 0.406 0.187
0.594 0.594 0.813
0.750 0.250 0.500
0.250 0.750 0.500
0.000 0.000 0.000
```

---

Repeat the fifth record exactly.
First-principles (PBE) data for crystalline Pa2PH2Se at its relaxed geometry, as listed in the Alexandria database.

Results
The symmetry is P-3m1 (164). The size of the total moment comes out at 0.000 μB/atom. The electronic total energy is -40.68 eV/cell. For the density of states at the Fermi level, the calculation gives 6.51 states/eV per cell.

Structure (POSCAR):
```
Pa2PH2Se
1.0
-1.031 0.934 3.570
-0.338 -3.620 -1.207
7.038 -1.462 2.416
H Pa Se P
2 2 1 1
Direct
0.667 0.333 0.751
0.333 0.667 0.249
0.333 0.667 0.728
0.667 0.333 0.272
0.000 0.000 0.000
0.000 0.000 0.500
```